# 1
Here is an optimized crystal structure of AcPmPu from OQMD via LeMat-Bulk. Energies are from PBE-GGA.

POSCAR file:
```
AcPmPu
1.0
-1.380 -2.974 4.364
-2.955 2.240 4.006
-5.192 -1.517 0.738
Ac Pm Pu
1 1 1
Direct
0.500 0.500 0.500
0.250 0.250 0.250
0.000 0.000 0.000
```

The energy relative to the lowest polymorph listed for this composition is 0 meV per atom. The value obtained for the energy of formation from the pure elements is 0.80 eV/atom. The total magnetic moment is 6.4 μB/f.u.

# 2
Here is an optimized crystal structure of AcPmRe from OQMD via LeMat-Bulk. Energies are from PBE-GGA.

POSCAR file:
```
AcPmRe
1.0
0.000 3.562 3.562
3.562 0.000 3.562
3.562 3.562 0.000
Ac Pm Re
1 1 1
Direct
0.250 0.250 0.250
0.750 0.750 0.750
0.000 0.000 0.000
```

The energy relative to the lowest polymorph listed for this composition is 0 meV per atom. The value obtained for the energy of formation from the pure elements is 0.40 eV/atom. The total magnetic moment is 0.0 μB/f.u.

# 3
Here is an optimized crystal structure of AcPmSb from OQMD via LeMat-Bulk. Energies are from PBE-GGA.

POSCAR file:
```
AcPmSb
1.0
0.000 3.817 3.817
3.817 0.000 3.817
3.817 3.817 0.000
Ac Pm Sb
1 1 1
Direct
0.250 0.250 0.250
0.750 0.750 0.750
0.000 0.000 0.000
```

The energy relative to the lowest polymorph listed for this composition is 0 meV per atom. The total magnetic moment is 0.0 μB/f.u.

# 4
Here is an optimized crystal structure of AcPm3Se6 from OQMD via LeMat-Bulk. Energies are from PBE-GGA.

POSCAR file:
```
AcPm3Se6
1.0
-2.136 11.188 -3.444
-3.724 -1.249 -1.747
-4.686 -1.665 11.180
Ac Pm Se
2 6 12
Direct
0.051 0.250 0.195
0.949 0.750 0.805
0.679 0.250 0.001
0.445 0.250 0.333
0.840 0.750 0.412
0.160 0.250 0.588
0.555 0.750 0.667
0.321 0.750 0.999
0.879 0.750 0.036
0.481 0.250 0.112
0.267 0.750 0.229
0.803 0.250 0.250
0.085 0.750 0.407
0.608 0.750 0.444
0.392 0.250 0.556
0.915 0.250 0.593
0.197 0.750 0.750
0.733 0.250 0.771
0.519 0.750 0.888
0.121 0.250 0.964
```

The final energy comes out at -5.86 eV/atom. The total magnetic moment is 0.0 μB/f.u.

# 5
Here is an optimized crystal structure of AcPmSi3 from OQMD via LeMat-Bulk. Energies are from PBE-GGA.

POSCAR file:
```
AcPmSi3
1.0
-6.871 10.790 0.616
5.877 -10.706 3.856
3.378 2.110 0.710
Ac Pm Si
2 2 6
Direct
0.429 0.571 0.250
0.571 0.429 0.750
0.702 0.298 0.250
0.298 0.702 0.750
0.822 0.178 0.250
0.122 0.878 0.250
0.025 0.975 0.250
0.975 0.025 0.750
0.878 0.122 0.750
0.178 0.822 0.750
```

The final energy comes out at -5.67 eV/atom. The total magnetic moment is 0.0 μB/f.u.

# 6
Here is an optimized crystal structure of AcPmSm from OQMD via LeMat-Bulk. Energies are from PBE-GGA.

POSCAR file:
```
AcPmSm
1.0
-2.830 -4.941 0.470
-1.480 -1.965 5.157
-5.489 -0.008 1.587
Ac Pm Sm
1 1 1
Direct
0.250 0.250 0.250
0.750 0.750 0.750
0.000 0.000 0.000
```

The energy relative to the lowest polymorph listed for this composition is 0 meV per atom. The value obtained for the energy of formation from the pure elements is 0.66 eV/atom. The total magnetic moment is 0.0 μB/f.u.